Entry 1:
! PBEsol Mg2ReCl, optimized geometry; values from VASP
! **Energy relative to the lowest polymorph listed for this composition**: 447 meV per atom
! **Space-group type**: Pmmm, No. 47
! **Formation energy from raw total energies**: 647 meV per atom
&SYSTEM
  ibrav = 0, nat = 4, ntyp = 3
/
ATOMIC_SPECIES
Mg 24.30 Mg.upf
Re 186.21 Re.upf
Cl 35.45 Cl.upf
CELL_PARAMETERS angstrom
2.9125 0.0000 0.0000
0.0000 4.7272 0.0000
0.0000 0.0000 4.9741
ATOMIC_POSITIONS crystal
Mg 0.0000 0.0000 0.0000
Mg 0.5000 0.0000 0.5000
Re 0.0000 0.5000 0.5000
Cl 0.5000 0.5000 0.0000


Entry 2:
! PBEsol Mg2TaReCl, optimized geometry; values from VASP
! **Space-group type**: P4/mmm, No. 123
! **Formation energy from raw total energies**: 1440 meV per atom
&SYSTEM
  ibrav = 0, nat = 5, ntyp = 4
/
ATOMIC_SPECIES
Mg 24.30 Mg.upf
Ta 180.95 Ta.upf
Re 186.21 Re.upf
Cl 35.45 Cl.upf
CELL_PARAMETERS angstrom
5.5937 0.0000 0.0000
0.0000 5.5937 0.0000
0.0000 0.0000 4.5461
ATOMIC_POSITIONS crystal
Mg 0.0000 0.5000 0.0000
Mg 0.5000 0.0000 0.0000
Ta 0.0000 0.0000 0.0000
Re 0.0000 0.0000 0.5000
Cl 0.5000 0.5000 0.5000


Entry 3:
! PBEsol Mg3RhCl, optimized geometry; values from VASP
! **Space-group type**: Pm-3m, No. 221
! **Formation energy from raw total energies**: 214 meV per atom
&SYSTEM
  ibrav = 0, nat = 5, ntyp = 3
/
ATOMIC_SPECIES
Mg 24.30 Mg.upf
Rh 102.91 Rh.upf
Cl 35.45 Cl.upf
CELL_PARAMETERS angstrom
4.6448 0.0000 0.0000
0.0000 4.6448 0.0000
0.0000 0.0000 4.6448
ATOMIC_POSITIONS crystal
Mg 0.0000 0.0000 0.5000
Mg 0.0000 0.5000 0.0000
Mg 0.5000 0.0000 0.0000
Rh 0.5000 0.5000 0.5000
Cl 0.0000 0.0000 0.0000


Entry 4:
! PBEsol MgRh2Cl, optimized geometry; values from VASP
! **Space-group type**: P2/m, No. 10
! **Formation energy from raw total energies**: 26 meV per atom
&SYSTEM
  ibrav = 0, nat = 4, ntyp = 3
/
ATOMIC_SPECIES
Mg 24.30 Mg.upf
Rh 102.91 Rh.upf
Cl 35.45 Cl.upf
CELL_PARAMETERS angstrom
2.9181 0.0000 0.0000
0.0000 4.5150 0.0000
-0.1001 0.0000 4.5655
ATOMIC_POSITIONS crystal
Mg 0.0000 0.0000 0.0000
Rh 0.2866 0.5000 0.7420
Rh 0.7134 0.5000 0.2580
Cl 0.5000 0.0000 0.5000


Entry 5:
! PBEsol MgRu2Cl, optimized geometry; values from VASP
! **Energy relative to the lowest polymorph listed for this composition**: 0 meV per atom
! **Space-group type**: P4mm, No. 99
! **Formation energy from raw total energies**: -15 meV per atom
&SYSTEM
  ibrav = 0, nat = 4, ntyp = 3
/
ATOMIC_SPECIES
Mg 24.30 Mg.upf
Ru 101.07 Ru.upf
Cl 35.45 Cl.upf
CELL_PARAMETERS angstrom
2.8926 0.0000 0.0000
0.0000 2.8926 0.0000
0.0000 0.0000 7.2782
ATOMIC_POSITIONS crystal
Mg 0.0000 0.0000 0.0000
Ru 0.0000 0.0000 0.4707
Ru 0.5000 0.5000 0.2632
Cl 0.5000 0.5000 0.7400


Entry 6:
! PBEsol MgRu2Cl, optimized geometry; values from VASP
! **Energy relative to the lowest polymorph listed for this composition**: 509 meV per atom
! **Space-group type**: I4/mmm, No. 139
! **Formation energy from raw total energies**: 494 meV per atom
&SYSTEM
  ibrav = 0, nat = 8, ntyp = 3
/
ATOMIC_SPECIES
Mg 24.30 Mg.upf
Ru 101.07 Ru.upf
Cl 35.45 Cl.upf
CELL_PARAMETERS angstrom
3.4493 0.0000 0.0000
0.0000 3.4493 0.0000
0.0000 0.0000 11.5931
ATOMIC_POSITIONS crystal
Mg 0.0000 0.0000 0.0000
Mg 0.5000 0.5000 0.5000
Ru 0.0000 0.5000 0.2500
Ru 0.0000 0.5000 0.7500
Ru 0.5000 0.0000 0.2500
Ru 0.5000 0.0000 0.7500
Cl 0.0000 0.0000 0.5000
Cl 0.5000 0.5000 0.0000


Entry 7:
! PBEsol MgRuCl2, optimized geometry; values from VASP
! **Energy relative to the lowest polymorph listed for this composition**: 0 meV per atom
! **Space-group type**: P4mm, No. 99
! **Formation energy from raw total energies**: -305 meV per atom
&SYSTEM
  ibrav = 0, nat = 4, ntyp = 3
/
ATOMIC_SPECIES
Mg 24.30 Mg.upf
Ru 101.07 Ru.upf
Cl 35.45 Cl.upf
CELL_PARAMETERS angstrom
3.0332 0.0000 0.0000
0.0000 3.0332 0.0000
0.0000 0.0000 7.9342
ATOMIC_POSITIONS crystal
Mg 0.0000 0.0000 0.0000
Ru 0.5000 0.5000 0.2582
Cl 0.0000 0.0000 0.4163
Cl 0.5000 0.5000 0.8174


Entry 8:
! PBEsol MgRu2Cl, optimized geometry; values from VASP
! **Energy relative to the lowest polymorph listed for this composition**: 450 meV per atom
! **Space-group type**: Pmmm, No. 47
! **Formation energy from raw total energies**: 435 meV per atom
&SYSTEM
  ibrav = 0, nat = 4, ntyp = 3
/
ATOMIC_SPECIES
Mg 24.30 Mg.upf
Ru 101.07 Ru.upf
Cl 35.45 Cl.upf
CELL_PARAMETERS angstrom
2.8275 0.0000 0.0000
0.0000 4.4866 0.0000
0.0000 0.0000 4.7257
ATOMIC_POSITIONS crystal
Mg 0.0000 0.0000 0.0000
Ru 0.0000 0.5000 0.5000
Ru 0.5000 0.0000 0.5000
Cl 0.5000 0.5000 0.0000


What is the formation energy from raw total energies in the first record?
647 meV per atom


Copy entry 2 word for word.
! PBEsol Mg2TaReCl, optimized geometry; values from VASP
! **Space-group type**: P4/mmm, No. 123
! **Formation energy from raw total energies**: 1440 meV per atom
&SYSTEM
  ibrav = 0, nat = 5, ntyp = 4
/
ATOMIC_SPECIES
Mg 24.30 Mg.upf
Ta 180.95 Ta.upf
Re 186.21 Re.upf
Cl 35.45 Cl.upf
CELL_PARAMETERS angstrom
5.5937 0.0000 0.0000
0.0000 5.5937 0.0000
0.0000 0.0000 4.5461
ATOMIC_POSITIONS crystal
Mg 0.0000 0.5000 0.0000
Mg 0.5000 0.0000 0.0000
Ta 0.0000 0.0000 0.0000
Re 0.0000 0.0000 0.5000
Cl 0.5000 0.5000 0.5000


Which value of formation energy from raw total energies does entry 3 give?
214 meV per atom


Which value of formation energy from raw total energies does entry 4 give?
26 meV per atom